No. 1
Entry from Alexandria via LeMat-Bulk: a geometry-optimized La2TlHg2 structure (PBE-GGA).

The structure belongs to space group P4/mbm (No. 127); the cell edges are 9.1197, 9.1197 and 3.7573 Å and the angles 90.00°, 90.00° and 90.00°. Symmetry generates all atoms from La at (0.1689, 0.3311, 0.0000), Tl at (0.0000, 0.0000, 0.0000) and Hg at (0.1286, 0.6286, 0.5000).

Its energy above the most stable polymorph in this dataset is 0.113 eV per atom.

No. 2
Entry from Alexandria via LeMat-Bulk: a geometry-optimized LaTlHg2 structure (PBE-GGA).

The structure belongs to space group R3m (No. 160, hexagonal axes); the cell edges are 4.1916, 4.1916 and 24.9586 Å and the angles 90.00°, 90.00° and 120.00°. Symmetry generates all atoms from La at (0.0000, 0.0000, 0.0000), Tl at (0.0000, 0.0000, 0.8335), Hg at (0.0000, 0.0000, 0.4199) and Hg at (0.0000, 0.0000, 0.5805).

Its energy above the most stable polymorph in this dataset is 0.219 eV per atom.

No. 3
Entry from Alexandria via LeMat-Bulk: a geometry-optimized LaTl2Hg structure (PBE-GGA).

The structure belongs to space group P4/mmm (No. 123); the cell edges are 4.8506, 4.8506 and 4.8469 Å and the angles 90.00°, 90.00° and 90.00°. Symmetry generates all atoms from La at (0.0000, 0.0000, 0.0000), Tl at (0.0000, 0.5000, 0.5000) and Hg at (0.5000, 0.5000, 0.0000).

No. 4
Entry from Alexandria via LeMat-Bulk: a geometry-optimized LaTl2Hg8 structure (PBE-GGA).

The structure belongs to space group C2/m (No. 12); the cell edges are 19.9310, 6.1677 and 5.2033 Å and the angles 90.00°, 102.73° and 90.00°. Symmetry generates all atoms from La at (0.0000, 0.0000, 0.0000), Tl at (0.2387, 0.5000, 0.2740), Hg at (0.0794, 0.5000, 0.0654), Hg at (0.0841, 0.2474, 0.5714) and Hg at (0.1726, 0.0000, 0.1465).

No. 5
Entry from Alexandria via LeMat-Bulk: a geometry-optimized LaTlHg4 structure (PBE-GGA).

The structure belongs to space group F-43m (No. 216); the cell edges are 8.6605, 8.6605 and 8.6605 Å and the angles 90.00°, 90.00° and 90.00°. Symmetry generates all atoms from La at (0.0000, 0.0000, 0.0000), Tl at (0.2500, 0.2500, 0.7500) and Hg at (0.1250, 0.1250, 0.3750).

Its energy above the most stable polymorph in this dataset is 0.108 eV per atom.

No. 6
Entry from Alexandria via LeMat-Bulk: a geometry-optimized La3Tl2Hg structure (PBE-GGA).

The structure belongs to space group Cmmm (No. 65); the cell edges are 5.6010, 16.8001 and 7.9377 Å and the angles 90.00°, 90.00° and 90.00°. Symmetry generates all atoms from La at (0.0000, 0.0000, 0.2463), La at (0.0000, 0.3319, 0.2456), Tl at (0.0000, 0.1658, 0.5000), Tl at (0.0000, 0.5000, 0.0000), Tl at (0.0000, 0.5000, 0.5000) and Hg at (0.0000, 0.1672, 0.0000).

Its energy above the most stable polymorph in this dataset is 0.003 eV per atom.

ΔH_f (0 K) in eV/atom, matching the order above: -0.330, -0.189, -0.351, -0.126, -0.180, -0.445